VASP calculation (PBE-GGA) on a relaxed UGeTe4 crystal.

Lattice parameters (Å, degrees): 15.323 4.259 7.403 90.00 118.04 90.00
Space group C2/m (No. 12)
Symmetry-distinct sites (fractional):
U: 0.000 0.000 0.000 (multiplicity 2)
Ge: 0.000 0.500 0.500 (multiplicity 2)
Te: 0.122 0.000 0.439 (multiplicity 4)
Te: 0.124 0.500 0.958 (multiplicity 4)

Calculated values
The crystal system is monoclinic. As for the volume: 426 Å³/cell. As for the uncorrected formation energy: -260 meV/atom. The calculation puts the total magnetization at 0.035 μB per atom.